--- 1 ---
Compound: CoTc2Ru
Source: the Alexandria database
Functional: GGA-PBEsol
Structure: optimized geometry

Results
* symmetry: Pmm2
* total magnetization: 0.0 μB/f.u.
* N(E_F): 2.98 states/eV per cell

```
data_CoTc2Ru
_symmetry_space_group_name_H-M 'P 1'
_symmetry_Int_Tables_number 1
_symmetry_space_group_name_Hall 'P 1'
_cell_length_a 2.651
_cell_length_b 4.188
_cell_length_c 4.600
_cell_angle_alpha 90.00
_cell_angle_beta 90.00
_cell_angle_gamma 90.00
loop_
_atom_site_label
_atom_site_type_symbol
_atom_site_fract_x
_atom_site_fract_y
_atom_site_fract_z
Tc1 Tc 0.000 0.500 0.699
Tc2 Tc 0.000 0.000 0.037
Co1 Co 0.500 0.000 0.549
Ru1 Ru 0.500 0.500 0.215
```

=====

--- 2 ---
Compound: CoTc2Ru
Source: the Alexandria database
Functional: GGA-PBEsol
Structure: optimized geometry

Results
* symmetry: P4mm
* total magnetization: 0.0 μB/f.u.
* N(E_F): 4.18 states/eV per cell

```
data_CoTc2Ru
_symmetry_space_group_name_H-M 'P 1'
_symmetry_Int_Tables_number 1
_symmetry_space_group_name_Hall 'P 1'
_cell_length_a 3.055
_cell_length_b 3.055
_cell_length_c 5.558
_cell_angle_alpha 90.00
_cell_angle_beta 90.00
_cell_angle_gamma 90.00
loop_
_atom_site_label
_atom_site_type_symbol
_atom_site_fract_x
_atom_site_fract_y
_atom_site_fract_z
Ru1 Ru 0.500 0.500 0.730
Co1 Co 0.000 0.000 0.480
Tc1 Tc 0.000 0.000 0.006
Tc2 Tc 0.500 0.500 0.284
```

=====

1 comes first in stability; the runner-up is 273 meV/atom higher.

=====

--- 1 ---
Compound: KIr2Rh
Source: the Alexandria database
Functional: GGA-PBEsol
Structure: optimized geometry

Results
* symmetry: I4/mmm
* total magnetization: 0.0 μB/f.u.
* N(E_F): 4.18 states/eV per cell

```
data_KIr2Rh
_symmetry_space_group_name_H-M 'P 1'
_symmetry_Int_Tables_number 1
_symmetry_space_group_name_Hall 'P 1'
_cell_length_a 3.956
_cell_length_b 3.956
_cell_length_c 4.952
_cell_angle_alpha 113.54
_cell_angle_beta 113.54
_cell_angle_gamma 90.00
loop_
_atom_site_label
_atom_site_type_symbol
_atom_site_fract_x
_atom_site_fract_y
_atom_site_fract_z
Ir1 Ir 0.250 0.750 0.500
Ir2 Ir 0.750 0.250 0.500
Rh1 Rh 0.000 0.000 0.000
K1 K 0.500 0.500 0.000
```

=====

--- 2 ---
Compound: KIr2Rh
Source: the Alexandria database
Functional: GGA-PBEsol
Structure: optimized geometry

Results
* symmetry: Pmmm
* total magnetization: 0.0 μB/f.u.
* N(E_F): 7.09 states/eV per cell

```
data_KIr2Rh
_symmetry_space_group_name_H-M 'P 1'
_symmetry_Int_Tables_number 1
_symmetry_space_group_name_Hall 'P 1'
_cell_length_a 2.648
_cell_length_b 3.823
_cell_length_c 7.495
_cell_angle_alpha 90.00
_cell_angle_beta 90.00
_cell_angle_gamma 90.00
loop_
_atom_site_label
_atom_site_type_symbol
_atom_site_fract_x
_atom_site_fract_y
_atom_site_fract_z
Ir1 Ir 0.000 0.000 0.669
Ir2 Ir 0.000 0.000 0.331
K1 K 0.500 0.500 0.000
Rh1 Rh 0.500 0.500 0.500
```

=====

2 comes first in stability; the runner-up is 500 meV/atom higher.